No. 1
Material: TiCd2HgH
Method: DFT, PBEsol
State: optimized geometry

Structure (CIF):
```
data_TiCd2HgH
_chemical_formula_sum 'Ti1 Cd2 Hg1 H1'
_cell_length_a 5.457
_cell_length_b 5.457
_cell_length_c 3.370
_cell_angle_alpha 90.00
_cell_angle_beta 90.00
_cell_angle_gamma 90.00
_symmetry_space_group_name_H-M 'P 4/m m m'
_symmetry_Int_Tables_number 123
_symmetry_space_group_name_Hall '-P 4 2'
loop_
_atom_site_label
_atom_site_type_symbol
_atom_site_fract_x
_atom_site_fract_y
_atom_site_fract_z
_atom_site_occupancy
Ti1 Ti 0.000 0.000 0.000 1
Cd1 Cd 0.000 0.500 0.500 1
Hg1 Hg 0.500 0.500 0.500 1
H1 H 0.500 0.500 0.000 1
```

Properties
D(E_F): 4.03 states/eV/cell
E_tot: -11.73 eV/cell

=====

No. 2
Material: Bi2Rh3S2
Method: DFT, PBEsol
State: optimized geometry

Structure (CIF):
```
data_Bi2Rh3S2
_chemical_formula_sum 'Bi8 Rh12 S8'
_cell_length_a 11.265
_cell_length_b 8.294
_cell_length_c 7.893
_cell_angle_alpha 90.00
_cell_angle_beta 133.43
_cell_angle_gamma 90.00
_symmetry_space_group_name_H-M 'C 1 2/m 1'
_symmetry_Int_Tables_number 12
_symmetry_space_group_name_Hall '-C 2y'
loop_
_atom_site_label
_atom_site_type_symbol
_atom_site_fract_x
_atom_site_fract_y
_atom_site_fract_z
_atom_site_occupancy
Bi1 Bi 0.001 0.000 0.252 1
Bi2 Bi 0.006 0.500 0.248 1
Rh1 Rh 0.000 0.253 0.500 1
Rh2 Rh 0.244 0.500 0.745 1
Rh3 Rh 0.250 0.250 0.500 1
S1 S 0.224 0.271 0.188 1
```

Properties
D(E_F): 16.53 states/eV/cell
raw formation energy: -0.419 eV per atom

=====

No. 3
Material: Rb3PdC
Method: DFT, PBEsol
State: optimized geometry

Structure (CIF):
```
data_Rb3PdC
_chemical_formula_sum 'Rb3 Pd1 C1'
_cell_length_a 6.224
_cell_length_b 6.224
_cell_length_c 6.224
_cell_angle_alpha 90.00
_cell_angle_beta 90.00
_cell_angle_gamma 90.00
_symmetry_space_group_name_H-M 'P m -3 m'
_symmetry_Int_Tables_number 221
_symmetry_space_group_name_Hall '-P 4 2 3'
loop_
_atom_site_label
_atom_site_type_symbol
_atom_site_fract_x
_atom_site_fract_y
_atom_site_fract_z
_atom_site_occupancy
Rb1 Rb 0.000 0.000 0.500 1
Pd1 Pd 0.000 0.000 0.000 1
C1 C 0.500 0.500 0.500 1
```

Properties
D(E_F): 0.13 states/eV/cell
DFT formation energy: 1296 meV per atom